Model P:
## GeSb3Rh (PBE-GGA)

Data for a relaxed GeSb3Rh crystal.

Cell and atoms, written as CIF:
```
data_GeSb3Rh
_chemical_formula_sum 'Ge1 Sb3 Rh1'
_space_group_name_H-M_alt 'P m -3 m'
_space_group_IT_number 221
_space_group_name_Hall '-P 4 2 3'
_cell_length_a 5.189
_cell_length_b 5.189
_cell_length_c 5.189
_cell_angle_alpha 90.00
_cell_angle_beta 90.00
_cell_angle_gamma 90.00
loop_
_atom_site_label
_atom_site_fract_x
_atom_site_fract_y
_atom_site_fract_z
Ge1 0.000 0.000 0.000
Sb1 0.000 0.000 0.500
Rh1 0.500 0.500 0.500
```

Model Q:
## GeSb3Rh (PBE-GGA)

Data for a relaxed GeSb3Rh crystal.

Cell and atoms, written as CIF:
```
data_GeSb3Rh
_chemical_formula_sum 'Ge1 Sb3 Rh1'
_space_group_name_H-M_alt 'P m -3 m'
_space_group_IT_number 221
_space_group_name_Hall '-P 4 2 3'
_cell_length_a 5.154
_cell_length_b 5.154
_cell_length_c 5.154
_cell_angle_alpha 90.00
_cell_angle_beta 90.00
_cell_angle_gamma 90.00
loop_
_atom_site_label
_atom_site_fract_x
_atom_site_fract_y
_atom_site_fract_z
Ge1 0.000 0.000 0.000
Sb1 0.000 0.500 0.500
Rh1 0.500 0.500 0.500
```

The structure with the most favorable energy is model Q; the runner-up is 625 meV/atom above it.